# TePt2I3, optimized geometry, DFT PBE
# Excess energy over the best structure of this formula in the dataset = 64 meV per atom
# Spin magnetization = 0.001 μB per atom
# DOS at the Fermi energy = 1.022 states/eV/atom
data_TePt2I3
_cell_length_a 8.2312
_cell_length_b 8.2312
_cell_length_c 5.9476
_cell_angle_alpha 90.00
_cell_angle_beta 90.00
_cell_angle_gamma 120.00
_space_group_name_H-M_alt 'P -3 m 1'
_space_group_IT_number 164
_space_group_name_Hall '-P 3 2"'
loop_
_atom_site_label
_atom_site_fract_x
_atom_site_fract_y
_atom_site_fract_z
Te1 0.3333 0.6667 0.2788
Pt1 0.0000 0.0000 0.5000
Pt2 0.0000 0.5000 0.5000
I1 0.1659 0.3319 0.7570